Below is an optimized crystal structure of NaPaHgO5, with properties calculated at the PBE-GGA level.

a = 6.0189 Å, b = 6.0189 Å, c = 8.0658 Å
α = 98.71°, β = 98.71°, γ = 111.30°
Element x y z (fractional)
Na: 0.3137 0.6863 0.2500
Na: 0.6863 0.3137 0.7500
Pa: 0.0000 0.0000 0.5000
Pa: 0.0000 0.0000 0.0000
Hg: 0.6457 0.3543 0.2500
Hg: 0.3543 0.6457 0.7500
O: 0.0822 0.9178 0.2500
O: 0.9178 0.0822 0.7500
O: 0.7690 0.1804 0.0620
O: 0.2310 0.8196 0.9380
O: 0.8196 0.2310 0.4380
O: 0.1804 0.7690 0.5620
O: 0.6649 0.6755 0.4088
O: 0.3351 0.3245 0.5912
O: 0.3245 0.3351 0.0912
O: 0.6755 0.6649 0.9088

Computed properties:
* crystal system: monoclinic
* E: -99.438 eV/cell
* DOS at the Fermi energy: 8.9 states/eV per cell
* ΔE_f (raw): -1726 meV/atom